Run A
A plane-wave DFT calculation with PBE was carried out for a relaxed structure of RbTiBe3.

Cell: 4.9847 4.9847 4.9847 Å, 90.00 90.00 90.00°
Closest atoms and distances in Å follow each position.
Space group Pm-3m (No. 221)
One atom of each set of equivalent atoms:
Rb (0.0000, 0.0000, 0.0000) x1  12 Be 3.52
Ti (0.5000, 0.5000, 0.5000) x1  6 Be 2.49
Be (0.0000, 0.5000, 0.5000) x3  2 Ti 2.49

Values from the calculation:
M_tot	3.72	μB/f.u.



Run B
A plane-wave DFT calculation with PBE was carried out for a relaxed structure of RbTiBe3.

Cell: 4.6306 4.6306 4.6306 Å, 90.00 90.00 90.00°
Closest atoms and distances in Å follow each position.
Space group Pm-3m (No. 221)
One atom of each set of equivalent atoms:
Rb (0.0000, 0.0000, 0.0000) x1  6 Be 2.32
Ti (0.5000, 0.5000, 0.5000) x1  12 Be 3.27
Be (0.0000, 0.0000, 0.5000) x3  2 Rb 2.32

Values from the calculation:
M_tot	0.00	μB/f.u.



Result of the stability comparison: run B is the least stable of them.